As2RuIBr at its PBEsol-relaxed geometry, computed with SCAN.

Summary:
Space group: P4/mmm (123)
Uncorrected formation energy: 0.358 eV per atom

a b c (Å): 4.773 4.773 5.070
angles (deg): 90.00 90.00 90.00
Atoms (fractional coordinates):
I: 0.500 0.500 0.500
Ru: 0.000 0.000 0.000
As: 0.000 0.500 0.000
As: 0.500 0.000 0.000
Br: 0.000 0.000 0.500